Material: NaCrI2O
Method: DFT, PBE+U
State: optimized geometry

The structure in CIF format:
```
data_NaCrI2O
_chemical_formula_sum 'Na1 Cr1 I2 O1'
_cell_length_a 5.875
_cell_length_b 5.875
_cell_length_c 3.759
_cell_angle_alpha 90.00
_cell_angle_beta 90.00
_cell_angle_gamma 90.00
_symmetry_space_group_name_H-M 'P 4/m m m'
_symmetry_Int_Tables_number 123
_symmetry_space_group_name_Hall '-P 4 2'
loop_
_atom_site_label
_atom_site_fract_x
_atom_site_fract_y
_atom_site_fract_z
Na1 0.000 0.000 0.000
Cr1 0.500 0.500 0.500
I1 0.000 0.500 0.500
O1 0.500 0.500 0.000
```

Computed properties:
Distance to the lowest polymorph of the same formula, meV/atom: 0
Density, Mg/m³: 4.41
V, Å³ per atom: 25.950